1.
The following is a PBE-GGA calculation of a relaxed structure of Li4Cd2GaGe, from the Open Quantum Materials Database.

The total DFT energy (no corrections) is -2.44 eV per atom.

The space group is P-4m2 (No. 115) and the conventional cell measures 4.543, 4.543 and 6.458 Å, with angles of 90.00, 90.00 and 90.00 degrees. The asymmetric unit holds Li at (0.000, 0.000, 0.000), Li at (0.000, 0.500, 0.750), Li at (0.500, 0.500, 0.500), Cd at (0.000, 0.500, 0.245), Ga at (0.500, 0.500, 0.000) and Ge at (0.000, 0.000, 0.500).

---

2.
The following is a PBE-GGA calculation of a relaxed structure of Na4Cd2GaGe, from the Open Quantum Materials Database.

The total DFT energy (no corrections) is -1.93 eV per atom.

The space group is P-4m2 (No. 115) and the conventional cell measures 4.984, 4.984 and 7.120 Å, with angles of 90.00, 90.00 and 90.00 degrees. The asymmetric unit holds Na at (0.000, 0.000, 0.000), Na at (0.000, 0.500, 0.749), Na at (0.500, 0.500, 0.500), Cd at (0.000, 0.500, 0.247), Ga at (0.500, 0.500, 0.000) and Ge at (0.000, 0.000, 0.500).

---

Q: Which of these has the lowest total DFT energy (no corrections)?
A: Li4Cd2GaGe

---

Q: Which of these has the lowest total DFT energy (no corrections)?
A: Li4Cd2GaGe

---

Q: The highest total DFT energy (no corrections) belongs to which entry?
A: Na4Cd2GaGe